[1]
Here is an optimized crystal structure of TmBPd from OQMD via LeMat-Bulk. Energies are from PBE.

Lattice parameters (Å, degrees): 4.3686 4.3686 4.3686 60.00 60.00 60.00
Sites, in units of the cell vectors:
Tm  0.0000  0.0000  0.0000
Pd  0.7500  0.7500  0.7500
B  0.2500  0.2500  0.2500

Values from the calculation:
Its volume is 59.0 Å³/cell. For the total magnetic moment, the calculation gives 0.003 μB/f.u. The calculation puts the total energy at -4.882 eV per atom. The calculation puts the offset from the most stable computed form at 751 meV per atom. As for the crystal system: cubic.



[2]
Here is an optimized crystal structure of BPdW2 from OQMD via LeMat-Bulk. Energies are from PBE.

Lattice parameters (Å, degrees): 4.3067 4.3067 4.3067 60.00 60.00 60.00
Sites, in units of the cell vectors:
B  0.5000  0.5000  0.5000
W  0.7500  0.7500  0.7500
W  0.0000  0.0000  0.0000
Pd  0.2500  0.2500  0.2500

Values from the calculation:
Its volume is 56.5 Å³/cell. For the total magnetic moment, the calculation gives 0.001 μB/f.u. The calculation puts the total energy at -8.622 eV per atom. As for the crystal system: cubic.



[3]
Here is an optimized crystal structure of YBPd2 from OQMD via LeMat-Bulk. Energies are from PBE.

Lattice parameters (Å, degrees): 4.5192 4.5192 4.5192 60.00 60.00 60.00
Sites, in units of the cell vectors:
Pd  0.0000  0.0000  0.0000
Pd  0.7500  0.7500  0.7500
Y  0.2500  0.2500  0.2500
B  0.5000  0.5000  0.5000

Values from the calculation:
Its volume is 65.3 Å³/cell. For the total magnetic moment, the calculation gives 0.001 μB/f.u. The calculation puts the total energy at -5.882 eV per atom. As for the crystal system: cubic.



[4]
Here is an optimized crystal structure of YBPd from OQMD via LeMat-Bulk. Energies are from PBE.

Lattice parameters (Å, degrees): 4.4337 4.4337 4.4337 60.00 60.00 60.00
Sites, in units of the cell vectors:
B  0.2500  0.2500  0.2500
Y  0.0000  0.0000  0.0000
Pd  0.7500  0.7500  0.7500

Values from the calculation:
Its volume is 61.6 Å³/cell. For the total magnetic moment, the calculation gives 0.000 μB/f.u. The calculation puts the total energy at -5.487 eV per atom. The calculation puts the offset from the most stable computed form at 752 meV per atom. As for the crystal system: cubic.



[5]
Here is an optimized crystal structure of YBPd from OQMD via LeMat-Bulk. Energies are from PBE.

Lattice parameters (Å, degrees): 4.1926 4.1926 4.1926 60.00 60.00 60.00
Sites, in units of the cell vectors:
Pd  0.2500  0.2500  0.2500
Y  0.7500  0.7500  0.7500
B  0.0000  0.0000  0.0000

Values from the calculation:
Its volume is 52.1 Å³/cell. For the total magnetic moment, the calculation gives 0.372 μB/f.u. The calculation puts the total energy at -6.239 eV per atom. The calculation puts the offset from the most stable computed form at 0 meV per atom. As for the crystal system: cubic.



[6]
Here is an optimized crystal structure of YB2Pd from OQMD via LeMat-Bulk. Energies are from PBE.

Lattice parameters (Å, degrees): 4.3317 4.3317 4.3317 60.00 60.00 60.00
Sites, in units of the cell vectors:
Pd  0.7500  0.7500  0.7500
B  0.2500  0.2500  0.2500
B  0.0000  0.0000  0.0000
Y  0.5000  0.5000  0.5000

Values from the calculation:
Its volume is 57.5 Å³/cell. For the total magnetic moment, the calculation gives 0.002 μB/f.u. The calculation puts the total energy at -5.540 eV per atom. As for the crystal system: cubic.



[7]
Here is an optimized crystal structure of Y2B5Pd14 from OQMD via LeMat-Bulk. Energies are from PBE.

Lattice parameters (Å, degrees): 10.4084 8.2943 8.2943 90.00 113.48 113.48
Sites, in units of the cell vectors:
B  0.5000  0.5000  0.2108
B  0.5000  0.5000  0.7892
B  0.0000  0.7892  0.5000
B  0.2500  0.6250  0.3750
B  0.5000  0.0000  0.2108
B  0.7500  0.3750  0.6250
B  0.5000  0.0000  0.7892
B  0.0000  0.2108  0.5000
B  0.0000  0.2108  0.0000
B  0.0000  0.7892  0.0000
Y  0.1818  0.0909  0.3409
Y  0.8182  0.9091  0.6591
Y  0.3182  0.6591  0.9091
Y  0.6818  0.3409  0.0909
Pd  0.7500  0.1875  0.4375
Pd  0.2500  0.4375  0.5625
Pd  0.7500  0.1875  0.8125
Pd  0.0389  0.3056  0.7695
Pd  0.6348  0.6487  0.0674
Pd  0.0389  0.7333  0.7695
Pd  0.2500  0.8125  0.1875
Pd  0.1348  0.0674  0.9862
Pd  0.3652  0.3513  0.9326
Pd  0.4611  0.2305  0.6944
Pd  0.4611  0.2305  0.2667
Pd  0.6348  0.9862  0.0674
Pd  0.5389  0.7695  0.7333
Pd  0.9611  0.2667  0.2305
Pd  0.0000  0.5000  0.0000
Pd  0.0000  0.5000  0.5000
Pd  0.8652  0.9326  0.3513
Pd  0.2500  0.4375  0.1875
Pd  0.8652  0.9326  0.0138
Pd  0.7500  0.5625  0.8125
Pd  0.5000  0.0000  0.5000
Pd  0.5000  0.5000  0.5000
Pd  0.1348  0.0674  0.6487
Pd  0.5389  0.7695  0.3056
Pd  0.2500  0.8125  0.5625
Pd  0.7500  0.5625  0.4375
Pd  0.9611  0.6944  0.2305
Pd  0.3652  0.0138  0.9326

Values from the calculation:
Its volume is 591.5 Å³/cell. For the total magnetic moment, the calculation gives 0.001 μB/f.u. The calculation puts the total energy at -6.113 eV per atom. As for the crystal system: tetragonal.



[8]
Here is an optimized crystal structure of ZnB4Pd from OQMD via LeMat-Bulk. Energies are from PBE.

Lattice parameters (Å, degrees): 3.0275 3.0275 7.0981 90.00 90.00 120.00
Sites, in units of the cell vectors:
B  0.6667  0.3333  0.7574
B  0.3333  0.6667  0.7574
B  0.3333  0.6667  0.2426
B  0.6667  0.3333  0.2426
Zn  0.0000  0.0000  0.0000
Pd  0.0000  0.0000  0.5000

Values from the calculation:
Its volume is 56.3 Å³/cell. The calculation puts the total energy at -5.242 eV per atom. The calculation puts the offset from the most stable computed form at 21 meV per atom. As for the crystal system: hexagonal.



[9]
Here is an optimized crystal structure of ZnBPd from OQMD via LeMat-Bulk. Energies are from PBE.

Lattice parameters (Å, degrees): 3.9210 3.9210 3.9210 60.00 60.00 60.00
Sites, in units of the cell vectors:
Pd  0.0000  0.0000  0.0000
Zn  0.7500  0.7500  0.7500
B  0.2500  0.2500  0.2500

Values from the calculation:
Its volume is 42.6 Å³/cell. The calculation puts the total energy at -3.839 eV per atom. As for the crystal system: cubic.



[10]
Here is an optimized crystal structure of ZnBPd3 from OQMD via LeMat-Bulk. Energies are from PBE.

Lattice parameters (Å, degrees): 5.5795 5.5795 5.5839 111.59 111.59 61.69
Sites, in units of the cell vectors:
Pd  0.5571  0.6861  0.2100
Pd  0.7017  0.0972  0.8403
Pd  0.0711  0.2220  0.3738
Pd  0.0972  0.7017  0.3403
Pd  0.6861  0.5571  0.7100
Pd  0.2220  0.0711  0.8738
B  0.9163  0.4141  0.0552
B  0.4141  0.9163  0.5552
Zn  0.1717  0.5895  0.8120
Zn  0.5895  0.1717  0.3120

Values from the calculation:
Its volume is 138.3 Å³/cell. The calculation puts the total energy at -5.044 eV per atom. As for the crystal system: monoclinic.



[11]
Here is an optimized crystal structure of ZnB4Pd from OQMD via LeMat-Bulk. Energies are from PBE.

Lattice parameters (Å, degrees): 4.6927 4.6927 4.6927 142.72 112.01 80.18
Sites, in units of the cell vectors:
B  0.0926  0.7569  0.3357
B  0.4212  0.7569  0.6643
B  0.5788  0.2431  0.3357
B  0.9074  0.2431  0.6643
Zn  0.5000  0.5000  0.0000
Pd  0.0000  0.0000  0.0000

Values from the calculation:
Its volume is 56.5 Å³/cell. The calculation puts the total energy at -5.263 eV per atom. The calculation puts the offset from the most stable computed form at 0 meV per atom. As for the crystal system: orthorhombic.



[12]
Here is an optimized crystal structure of Zn2BPd from OQMD via LeMat-Bulk. Energies are from PBE.

Lattice parameters (Å, degrees): 4.1478 4.1478 4.1478 60.00 60.00 60.00
Sites, in units of the cell vectors:
Zn  0.0000  0.0000  0.0000
Zn  0.7500  0.7500  0.7500
Pd  0.2500  0.2500  0.2500
B  0.5000  0.5000  0.5000

Values from the calculation:
Its volume is 50.5 Å³/cell. The calculation puts the total energy at -3.229 eV per atom. As for the crystal system: cubic.



Q: What is the formula in the first record?
A: TmBPd



Q: Which formula does entry 7 have?
A: Y2B5Pd14



Q: Number 11 is which compound?
A: ZnB4Pd



Q: What is the volume in the tenth record?
A: 138.3 Å³/cell